! Fe2TeW | Alexandria via LeMat-Bulk | meta-GGA SCAN | single point on PBEsol structure; values from VASP
! V, Å³/atom: 14.53
! DOS at the Fermi energy, states/eV/atom: 0.82
! VASP energy, eV per atom: -35.342
! Raw formation energy, eV/atom: 0.4578
! SG: No. 99
! Total magnetization, μB per formula unit: 4.54
&SYSTEM
  ibrav = 0, nat = 4, ntyp = 3
/
ATOMIC_SPECIES
Fe 55.84 Fe.upf
W 183.84 W.upf
Te 127.60 Te.upf
ATOMIC_POSITIONS angstrom
Fe 1.879 -0.200 1.752
Fe 0.069 0.083 0.018
W 3.969 2.316 2.301
Te 1.791 2.156 0.471
CELL_PARAMETERS angstrom
-0.316 -0.411 3.085
2.408 -1.996 -0.019
3.744 4.508 0.985